Below is a relaxed RbSrPO2 crystal, with properties calculated at the PBE level.

Computed properties:
Crystal system: tetragonal
Energy above the most stable polymorph in this dataset, meV/atom: 601
Space-group type: P4/mmm, No. 123

Cell and atoms, written as extended XYZ:
```
5
Lattice="4.859 0.000 0.000 0.000 4.859 0.000 0.000 0.000 5.354" Properties=species:S:1:pos:R:3 pbc="T T T"
Rb 0.000 0.000 0.000
Sr 2.429 2.429 2.677
P 0.000 0.000 2.677
O 0.000 2.429 0.000
O 2.429 0.000 0.000
```

Below is a relaxed Rb2SrP2O7 crystal, with properties calculated at the PBE level.

Computed properties:
Crystal system: trigonal
Energy above the most stable polymorph in this dataset, meV/atom: 30
Space-group type: R-3m, No. 166

Cell and atoms, written as extended XYZ:
```
12
Lattice="3.044 1.758 6.894 -3.044 1.758 6.894 0.000 -3.515 6.894" Properties=species:S:1:pos:R:3 pbc="T T T"
Rb 0.000 0.000 4.980
Rb 0.000 0.000 15.701
Sr 0.000 0.000 0.000
P 0.000 0.000 8.730
P 0.000 0.000 11.951
O 0.000 -1.478 8.320
O -1.280 0.739 8.320
O -1.280 -0.739 12.361
O 0.000 0.000 10.340
O 1.280 0.739 8.320
O 1.280 -0.739 12.361
O 0.000 1.478 12.361
```

Below is a relaxed Rb2SrPO4 crystal, with properties calculated at the PBE level.

Computed properties:
Crystal system: tetragonal
Space-group type: I-4, No. 82

Cell and atoms, written as extended XYZ:
```
8
Lattice="-3.339 3.339 3.915 3.339 -3.339 3.915 3.339 3.339 -3.915" Properties=species:S:1:pos:R:3 pbc="T T T"
Rb 0.000 0.000 0.000
Rb 0.000 3.339 1.958
Sr 3.339 0.000 1.958
P 0.000 0.000 3.915
O 2.168 2.846 -0.924
O 3.833 2.168 0.924
O 1.171 0.493 2.991
O -0.493 1.171 4.839
```

Below is a relaxed RbSrP2O crystal, with properties calculated at the PBE level.

Computed properties:
Crystal system: tetragonal
Energy above the most stable polymorph in this dataset, meV/atom: 555
Space-group type: P4/mmm, No. 123

Cell and atoms, written as extended XYZ:
```
5
Lattice="5.519 0.000 0.000 0.000 5.519 0.000 0.000 0.000 4.762" Properties=species:S:1:pos:R:3 pbc="T T T"
Rb 0.000 0.000 0.000
Sr 2.759 2.759 2.381
P 0.000 2.759 0.000
P 2.759 0.000 0.000
O 0.000 0.000 2.381
```

Below is a relaxed RbSrPO2 crystal, with properties calculated at the PBE level.

Computed properties:
Crystal system: tetragonal
Energy above the most stable polymorph in this dataset, meV/atom: 0
Space-group type: P4/mmm, No. 123

Cell and atoms, written as extended XYZ:
```
5
Lattice="4.918 0.000 0.000 0.000 4.918 0.000 0.000 0.000 6.037" Properties=species:S:1:pos:R:3 pbc="T T T"
Rb 0.000 0.000 0.000
Sr 2.459 2.459 3.018
P 2.459 2.459 0.000
O 0.000 2.459 3.018
O 2.459 0.000 3.018
```

Below is a relaxed RbSrPO4 crystal, with properties calculated at the PBE level.

Computed properties:
Crystal system: monoclinic
Space-group type: P2_1/m, No. 11

Cell and atoms, written as extended XYZ:
```
14
Lattice="5.898 0.000 0.000 0.000 5.764 0.000 -1.981 0.000 7.425" Properties=species:S:1:pos:R:3 pbc="T T T"
Rb 0.375 1.441 3.255
Rb 3.542 4.323 4.169
Sr -0.297 1.441 7.098
Sr 4.214 4.323 0.326
P 1.264 4.323 1.323
P 2.653 1.441 6.102
O 0.013 4.323 2.245
O -1.177 4.323 7.248
O 2.172 3.071 1.555
O 2.172 5.576 1.555
O 1.745 0.189 5.870
O 1.745 2.694 5.870
O 5.094 1.441 0.177
O 3.904 1.441 5.179
```

Below is a relaxed RbSrP2O6 crystal, with properties calculated at the PBE level.

Computed properties:
Crystal system: monoclinic
Space-group type: C2/c, No. 15

Cell and atoms, written as extended XYZ:
```
20
Lattice="5.255 -5.226 0.000 5.255 5.226 0.000 -1.678 0.000 5.993" Properties=species:S:1:pos:R:3 pbc="T T T"
Rb 3.997 3.399 4.494
Rb 4.836 -3.399 1.498
Sr 4.836 1.265 1.498
Sr 3.997 -1.265 4.494
P 1.067 0.778 4.578
P 1.906 -0.778 1.582
P 6.927 0.778 4.410
P 7.766 -0.778 1.414
O 3.120 3.078 1.686
O 1.754 0.221 0.363
O 0.915 -0.221 3.359
O 2.528 0.804 5.091
O 6.551 3.078 1.310
O 3.367 -0.804 2.095
O 5.465 0.804 3.898
O 2.281 -3.078 4.682
O 6.304 -0.804 0.901
O 7.918 0.221 2.634
O 7.079 -0.221 5.630
O 5.712 -3.078 4.307
```

Below is a relaxed Rb3SrP2O8 crystal, with properties calculated at the PBE level.

Computed properties:
Crystal system: trigonal
Space-group type: P-3m1, No. 164

Cell and atoms, written as extended XYZ:
```
14
Lattice="6.032 0.000 0.000 -3.016 5.224 0.000 0.000 0.000 8.032" Properties=species:S:1:pos:R:3 pbc="T T T"
Rb 0.000 0.000 0.000
Rb 0.000 3.483 5.735
Rb 3.016 1.741 2.296
Sr 0.000 0.000 4.016
P 0.000 3.483 2.031
P 3.016 1.741 6.001
O 0.000 2.011 2.544
O -1.275 4.219 2.544
O 0.000 3.483 0.482
O 1.742 1.006 5.488
O 1.275 4.219 2.544
O 3.016 1.741 7.549
O 4.291 1.006 5.488
O 3.016 3.213 5.488
```

Below is a relaxed RbSrP2O crystal, with properties calculated at the PBE level.

Computed properties:
Crystal system: tetragonal
Energy above the most stable polymorph in this dataset, meV/atom: 0
Space-group type: P4/mmm, No. 123

Cell and atoms, written as extended XYZ:
```
5
Lattice="6.143 0.000 0.000 0.000 6.143 0.000 0.000 0.000 4.614" Properties=species:S:1:pos:R:3 pbc="T T T"
Rb 0.000 0.000 0.000
Sr 3.071 3.071 2.307
P 0.000 3.071 2.307
P 3.071 0.000 2.307
O 3.071 3.071 0.000
```

Below is a relaxed RbTaP2O crystal, with properties calculated at the PBE level.

Computed properties:
Crystal system: tetragonal
Energy above the most stable polymorph in this dataset, meV/atom: 2580
Space-group type: P4/mmm, No. 123

Cell and atoms, written as extended XYZ:
```
5
Lattice="5.058 0.000 0.000 0.000 5.058 0.000 0.000 0.000 4.043" Properties=species:S:1:pos:R:3 pbc="T T T"
Rb 0.000 0.000 0.000
Ta 2.529 2.529 2.021
P 0.000 2.529 0.000
P 2.529 0.000 0.000
O 0.000 0.000 2.021
```

Below is a relaxed Rb2Ta2P7O24 crystal, with properties calculated at the PBE level.

Computed properties:
Crystal system: monoclinic
Space-group type: P2_1/m, No. 11

Cell and atoms, written as extended XYZ:
```
70
Lattice="5.275 0.000 0.000 0.000 18.948 0.000 -1.046 0.000 10.958" Properties=species:S:1:pos:R:3 pbc="T T T"
Rb 0.895 4.737 2.412
Rb 0.683 14.211 5.625
Rb 3.545 4.737 5.333
Rb 3.334 14.211 8.546
Ta 0.772 9.949 3.322
Ta 0.772 18.473 3.322
Ta 3.457 0.475 7.636
Ta 3.457 8.999 7.636
P 0.934 11.888 0.394
P 0.934 16.535 0.394
P 0.811 1.843 5.925
P 0.811 7.631 5.925
P 0.841 11.019 8.766
P 0.841 17.404 8.766
P 2.131 14.211 1.796
P 2.098 4.737 9.162
P 3.388 1.545 2.192
P 3.388 7.929 2.192
P 3.417 11.317 5.033
P 3.417 17.105 5.033
P 3.294 2.414 10.564
P 3.294 7.061 10.564
O -0.495 1.665 6.774
O -0.495 7.809 6.774
O 0.268 2.987 0.228
O 0.268 6.487 0.228
O -0.355 10.130 8.316
O -0.355 18.292 8.316
O 0.746 11.032 1.661
O 0.746 17.390 1.661
O 1.020 14.211 2.816
O 0.839 0.617 4.944
O 0.839 8.857 4.944
O 0.882 3.153 5.220
O 0.882 6.321 5.220
O 0.774 4.737 8.428
O 0.826 12.408 8.241
O 0.826 16.015 8.241
O 0.765 10.950 10.391
O 0.765 17.472 10.391
O 2.061 12.980 0.783
O 2.061 15.442 0.783
O 2.100 0.733 2.469
O 2.100 8.741 2.469
O 2.229 11.071 4.040
O 2.229 17.351 4.040
O 2.000 1.597 6.918
O 2.000 7.877 6.918
O 2.129 10.207 8.489
O 2.129 18.215 8.489
O 2.168 3.506 10.175
O 2.168 5.968 10.175
O 3.463 1.476 0.567
O 3.463 7.998 0.567
O 3.402 2.934 2.717
O 3.402 6.540 2.717
O 3.455 14.211 2.530
O 3.347 12.627 5.738
O 3.347 15.795 5.738
O 3.390 10.091 6.014
O 3.390 18.331 6.014
O 3.209 4.737 8.142
O 3.483 1.558 9.297
O 3.483 7.916 9.297
O 4.584 0.656 2.641
O 4.584 8.818 2.641
O 3.961 12.461 10.730
O 3.961 15.961 10.730
O 4.723 11.139 4.184
O 4.723 17.283 4.184
```

Below is a relaxed RbTaP2O crystal, with properties calculated at the PBE level.

Computed properties:
Crystal system: tetragonal
Energy above the most stable polymorph in this dataset, meV/atom: 0
Space-group type: P4/mmm, No. 123

Cell and atoms, written as extended XYZ:
```
5
Lattice="5.059 0.000 0.000 0.000 5.059 0.000 0.000 0.000 4.036" Properties=species:S:1:pos:R:3 pbc="T T T"
Rb 0.000 0.000 0.000
Ta 2.530 2.530 2.018
P 0.000 2.530 2.018
P 2.530 0.000 2.018
O 2.530 2.530 0.000
```

We obtain total magnetic moment values of 0.561, 0.000, 0.000, 0.505, 0.801, 0.000, 0.044, 0.078, 1.003, 0.270, 0.032, 0.055 μB per atom for the records listed above, in that order.
We obtain formation energy (no corrections) values of 0.216, -2.480, -2.075, 0.673, -0.386, -2.620, -2.218, -2.323, 0.119, 1.956, -2.276, -0.624 eV/atom for the records listed above, in that order.
We obtain calculated total energy values of -16.90, -78.91, -45.46, -15.06, -19.90, -92.46, -130.80, -87.59, -17.83, -18.82, -524.31, -31.72 eV per cell for the records listed above, in that order.